Record 1
## Ac4RhSe2N (PBE)

Data for crystalline Ac4RhSe2N at its relaxed geometry.

CIF file:
```
data_Ac4RhSe2N
_space_group_name_H-M_alt 'P 1 2/m 1'
_space_group_IT_number 10
_space_group_name_Hall '-P 2y'
_cell_length_a 7.253
_cell_length_b 4.279
_cell_length_c 7.741
_cell_angle_alpha 90.00
_cell_angle_beta 107.06
_cell_angle_gamma 90.00
loop_
_atom_site_label
_atom_site_type_symbol
_atom_site_fract_x
_atom_site_fract_y
_atom_site_fract_z
_atom_site_occupancy
Ac1 Ac 0.232 0.000 0.289 1
Ac2 Ac 0.238 0.500 0.716 1
Rh1 Rh 0.500 0.500 0.500 1
Se1 Se 0.000 0.500 0.000 1
Se2 Se 0.500 0.000 0.000 1
N1 N 0.000 0.000 0.500 1
```

Summary:
The value obtained for the density of states at the Fermi level is 0.5350 states/eV per atom.

---

Record 2
## Ac8Rh3Se4N (PBE)

Data for crystalline Ac8Rh3Se4N at its relaxed geometry.

CIF file:
```
data_Ac8Rh3Se4N
_space_group_name_H-M_alt 'R -3 m'
_space_group_IT_number 166
_space_group_name_Hall '-R 3 2"'
_cell_length_a 8.5662
_cell_length_b 8.5662
_cell_length_c 22.6707
_cell_angle_alpha 90.00
_cell_angle_beta 90.00
_cell_angle_gamma 120.00
loop_
_atom_site_label
_atom_site_type_symbol
_atom_site_fract_x
_atom_site_fract_y
_atom_site_fract_z
_atom_site_occupancy
Ac1 Ac 0.0000 0.0000 0.2430 1
Ac2 Ac 0.0128 0.5064 0.2378 1
Rh1 Rh 0.0000 0.5000 0.5000 1
Se1 Se 0.0000 0.0000 0.0000 1
Se2 Se 0.0000 0.5000 0.0000 1
N1 N 0.0000 0.0000 0.5000 1
```

Summary:
The value obtained for the density of states at the Fermi level is 0.5064 states/eV per atom.

---

Record 3
## Ac8Rh3Se3N (PBE)

Data for crystalline Ac8Rh3Se3N at its relaxed geometry.

CIF file:
```
data_Ac8Rh3Se3N
_space_group_name_H-M_alt 'C 1 2/m 1'
_space_group_IT_number 12
_space_group_name_Hall '-C 2y'
_cell_length_a 14.852
_cell_length_b 8.577
_cell_length_c 9.079
_cell_angle_alpha 90.00
_cell_angle_beta 123.09
_cell_angle_gamma 90.00
loop_
_atom_site_label
_atom_site_type_symbol
_atom_site_fract_x
_atom_site_fract_y
_atom_site_fract_z
_atom_site_occupancy
Ac1 Ac 0.009 0.236 0.292 1
Ac2 Ac 0.226 0.000 0.708 1
Ac3 Ac 0.242 0.500 0.726 1
Rh1 Rh 0.000 0.500 0.500 1
Rh2 Rh 0.250 0.250 0.500 1
Se1 Se 0.000 0.000 0.000 1
Se2 Se 0.250 0.250 0.000 1
N1 N 0.000 0.000 0.500 1
```

Summary:
The value obtained for the density of states at the Fermi level is 0.6796 states/eV per atom.

---

| no. | raw total energy (eV/cell) | total moment (μB per cell) |
| --- | --- | --- |
| 1 | -49.587 | 0.001 |
| 2 | -293.176 | 0.000 |
| 3 | -180.202 | 1.105 |